A geometry-optimized Tb2NdScBi5 structure, computed with PBE.

a = 5.674 Å, b = 5.674 Å, c = 11.361 Å
α = 90.00°, β = 90.00°, γ = 90.00°
Positions (direct):
Tb1 0.500 0.500 0.303
Tb2 0.500 0.500 0.697
Nd1 0.000 0.000 0.500
Sc1 0.000 0.000 0.000
Bi1 0.000 0.500 0.500
Bi2 0.500 0.000 0.500
Bi3 0.000 0.000 0.762
Bi4 0.000 0.000 0.238
Bi5 0.500 0.500 0.000

Values from the calculation:
Mass density: 7.05 g cm⁻³
Calculated formation energy: 0.151 eV/atom
E: -4.27 eV/atom
Spin magnetization: 0.00 Bohr magnetons per cell